[1]
# KNiOs4

A relaxed KNiOs4 crystal (GGA-PBE, Alexandria).

Values from the calculation:
total energy	-7.398	eV/atom
ΔE_f	1234.8	meV per atom

Cell and atoms, written as extended XYZ:
```
6
Lattice="-1.034 -0.824 5.088 -4.861 0.760 1.851 -2.932 -4.114 1.454" Properties=species:S:1:pos:R:3 pbc="T T T"
K -6.621 -3.134 6.295
Ni 0.000 0.000 0.000
Os -3.824 -1.978 5.701
Os -4.779 -3.634 3.872
Os -5.750 -1.181 4.072
Os -3.303 -1.563 3.141
```

[2]
# Mg5Tl2Pb2

A relaxed Mg5Tl2Pb2 crystal (GGA-PBE, Alexandria).

Values from the calculation:
total energy	-2.233	eV/atom
energy above the lowest structure with this stoichiometry	0	meV per atom
ΔE_f	3.1	meV per atom

Cell and atoms, written as extended XYZ:
```
9
Lattice="-2.018 -4.425 -1.932 5.184 -0.835 -3.771 0.161 -0.837 9.095" Properties=species:S:1:pos:R:3 pbc="T T T"
Mg 2.967 -3.495 -2.440
Mg 0.359 -2.601 5.833
Mg 0.567 -4.355 2.310
Mg 2.759 -1.741 1.082
Mg 0.000 0.000 0.000
Tl 3.325 -4.844 0.504
Tl 0.001 -1.252 2.888
Pb 0.536 -3.099 -0.555
Pb 2.791 -2.997 3.947
```

[3]
# Li2TbSc3S6

A relaxed Li2TbSc3S6 crystal (GGA-PBE, Alexandria).

Values from the calculation:
total energy	-6.200	eV/atom
formation energy (no corrections)	-1.848	eV/atom

Cell and atoms, written as extended XYZ:
```
12
Lattice="-3.797 2.550 -4.527 4.165 -4.658 -1.542 -4.454 -3.574 3.249" Properties=species:S:1:pos:R:3 pbc="T T T"
Li 1.517 -2.260 -2.535
Li -1.149 0.153 -3.534
Tb 0.000 0.000 0.000
Sc 0.613 -5.245 -0.414
Sc -4.699 -0.437 -2.406
Sc -2.043 -2.841 -1.410
S -4.387 -2.994 -2.611
S -0.878 -2.498 -3.687
S 0.301 -2.688 -0.209
S -1.677 -5.447 -1.595
S -3.208 -3.184 0.867
S -2.409 -0.235 -1.225
```